--- a ---
The following is a DFT calculation (PBE-GGA) of NaTiH2 after structural relaxation.

abc: 5.1795 5.1795 5.2665
angles: 60.54 60.54 90.00
Site moments in Bohr magnetons follow the coordinates.
Fractional coordinates of all 8 atoms:
Na 0.5000 0.5000 0.0000  0.01
Na 0.2500 0.7500 0.5000  0.01
H 0.7013 0.1250 0.2500  -0.01
H 0.0487 0.6250 0.2500  -0.01
H 0.3750 0.2987 0.7500  -0.01
H 0.8750 0.9513 0.7500  -0.01
Ti 0.0000 0.0000 0.0000  0.71
Ti 0.7500 0.2500 0.5000  0.71

## Properties
Crystal system ... tetragonal
Space-group type ... I-42d, No. 122


--- b ---
The following is a DFT calculation (PBE-GGA) of NaTiH2 after structural relaxation.

abc: 3.9231 3.9231 3.9231
angles: 60.00 60.00 60.00
Site moments in Bohr magnetons follow the coordinates.
Fractional coordinates of all 4 atoms:
Na 0.0000 0.0000 0.0000  0.03
H 0.2500 0.2500 0.2500  -0.02
H 0.7500 0.7500 0.7500  -0.02
Ti 0.5000 0.5000 0.5000  1.43

## Properties
Crystal system ... cubic
Space-group type ... Fm-3m, No. 225


Result of the stability comparison: b is the least stable of them.


--- a ---
The following is a DFT calculation (PBE-GGA) of NaTiH3 after structural relaxation.

abc: 3.6139 3.6139 3.6139
angles: 90.00 90.00 90.00
Fractional coordinates of all 5 atoms:
Na 0.0000 0.0000 0.0000
H 0.0000 0.5000 0.0000
H 0.0000 0.0000 0.5000
H 0.5000 0.0000 0.0000
Ti 0.5000 0.5000 0.5000

## Properties
Crystal system ... cubic
Space-group type ... Pm-3m, No. 221


--- b ---
The following is a DFT calculation (PBE-GGA) of NaTiH3 after structural relaxation.

abc: 3.7195 3.7195 3.7195
angles: 90.00 90.00 90.00
Site moments in Bohr magnetons follow the coordinates.
Fractional coordinates of all 5 atoms:
Na 0.5000 0.5000 0.5000  0.01
H 0.0000 0.5000 0.0000  -0.01
H 0.0000 0.0000 0.5000  -0.01
H 0.5000 0.0000 0.0000  0.00
Ti 0.0000 0.0000 0.0000  0.67

## Properties
Crystal system ... cubic
Space-group type ... Pm-3m, No. 221


Result of the stability comparison: a is the least stable of them.


--- a ---
The following is a DFT calculation (PBE-GGA) of NaTlH3 after structural relaxation.

abc: 4.1876 4.1876 4.1876
angles: 90.00 90.00 90.00
Fractional coordinates of all 5 atoms:
Na 0.5000 0.5000 0.5000
Tl 0.0000 0.0000 0.0000
H 0.0000 0.5000 0.0000
H 0.0000 0.0000 0.5000
H 0.5000 0.0000 0.0000

## Properties
Crystal system ... cubic
Space-group type ... Pm-3m, No. 221


--- b ---
The following is a DFT calculation (PBE-GGA) of NaTlH3 after structural relaxation.

abc: 4.1783 4.1783 4.1783
angles: 90.00 90.00 90.00
Site moments in Bohr magnetons follow the coordinates.
Fractional coordinates of all 5 atoms:
Na 0.0000 0.0000 0.0000  0.01
Tl 0.5000 0.5000 0.5000  0.04
H 0.0000 0.5000 0.0000  0.14
H 0.0000 0.0000 0.5000  0.14
H 0.5000 0.0000 0.0000  0.13

## Properties
Crystal system ... cubic
Space-group type ... Pm-3m, No. 221


Result of the stability comparison: b is the least stable of them.